No. 1
## PdRhO2 (PBE-GGA)

Data for PdRhO2 after structural relaxation.

space-group type: Cc, No. 9
raw formation energy: -55 kJ/mol of formula units

Cell and atoms, written as POSCAR:
```
PdRhO2
1.0
6.2058 0.0000 0.0000
0.0000 6.1880 0.0000
-2.4052 0.0000 4.9524
Pd Rh O
4 4 8
Direct
0.0000 0.0807 0.0000
0.0000 0.9193 0.5000
0.5000 0.4193 0.5000
0.5000 0.5807 0.0000
0.0691 0.3500 0.5013
0.0691 0.6500 0.0013
0.5691 0.1500 0.0013
0.5691 0.8500 0.5013
0.2492 0.3039 0.9179
0.2492 0.6961 0.4179
0.4135 0.1046 0.5998
0.4135 0.8954 0.0998
0.7492 0.1961 0.4179
0.7492 0.8039 0.9179
0.9135 0.3954 0.0998
0.9135 0.6046 0.5998
```

---

No. 2
## Nd3SmEr2S6 (PBE-GGA)

Data for Nd3SmEr2S6 after structural relaxation.

space-group type: C2/m, No. 12
raw formation energy: -2325 kJ/mol of formula units

Cell and atoms, written as POSCAR:
```
Nd3SmEr2S6
1.0
3.4345 -5.9662 0.0000
3.4345 5.9662 0.0000
-2.2964 0.0000 6.5855
Nd Sm Er S
3 1 2 6
Direct
0.0000 0.0000 0.0000
0.3373 0.6627 0.0000
0.6627 0.3373 0.0000
0.5000 0.5000 0.5000
0.1663 0.8337 0.5000
0.8337 0.1663 0.5000
0.0796 0.4215 0.2640
0.2357 0.2357 0.7327
0.4215 0.0796 0.2640
0.5785 0.9204 0.7360
0.7643 0.7643 0.2673
0.9204 0.5785 0.7360
```

---

No. 3
## PaMnCoS4 (PBE-GGA)

Data for PaMnCoS4 after structural relaxation.

space-group type: P2_1/m, No. 11
raw formation energy: -585 kJ/mol of formula units

Cell and atoms, written as POSCAR:
```
PaMnCoS4
1.0
5.6105 0.0000 0.0000
0.0000 8.6424 0.0000
-2.3311 0.0000 6.1842
Pa Mn Co S
2 2 2 8
Direct
0.0792 0.2500 0.1152
0.9208 0.7500 0.8848
0.1983 0.7500 0.4773
0.8017 0.2500 0.5227
0.4411 0.7500 0.1854
0.5589 0.2500 0.8146
0.1948 0.5599 0.2290
0.1948 0.9401 0.2290
0.2087 0.2500 0.5400
0.4181 0.7500 0.8456
0.5819 0.2500 0.1544
0.7913 0.7500 0.4600
0.8052 0.0599 0.7710
0.8052 0.4401 0.7710
```

---

No. 4
## ScSeS (PBE-GGA)

Data for ScSeS after structural relaxation.

space-group type: P-1, No. 2
raw formation energy: -428 kJ/mol of formula units
excess energy over the best structure of this formula in the dataset: 0 meV per atom

Cell and atoms, written as POSCAR:
```
ScSeS
1.0
3.9031 0.0000 0.0000
0.2041 5.1588 0.0000
1.5060 2.2996 6.4407
Sc Se S
2 2 2
Direct
0.2100 0.1738 0.1787
0.7900 0.8262 0.8213
0.3932 0.7705 0.5262
0.6068 0.2295 0.4738
0.2042 0.7190 0.0765
0.7958 0.2810 0.9235
```